# Li3Cr2P3O12, optimized geometry, DFT GGA+U
data_Li3Cr2P3O12
_cell_length_a 16.1135
_cell_length_b 8.9263
_cell_length_c 16.4026
_cell_angle_alpha 90.00
_cell_angle_beta 118.93
_cell_angle_gamma 90.00
_symmetry_space_group_name_H-M 'C 1 2/c 1'
_symmetry_Int_Tables_number 15
loop_
_symmetry_equiv_pos_as_xyz
'x,y,z'
'-x,-y,-z'
'-x,y,-z+1/2'
'x,-y,z+1/2'
'x+1/2,y+1/2,z'
'-x+1/2,-y+1/2,-z'
'-x+1/2,y+1/2,-z+1/2'
'x+1/2,-y+1/2,z+1/2'
loop_
_atom_site_label
_atom_site_fract_x
_atom_site_fract_y
_atom_site_fract_z
Li1 0.0000 0.1499 0.2500
Li2 0.1176 0.1690 0.6539
Li3 0.1765 0.4438 0.5195
Li4 0.2500 0.2500 0.0000
Cr1 0.0425 0.2495 0.0238
Cr2 0.1796 0.4760 0.3304
P1 0.0086 0.4817 0.8753
P2 0.1240 0.0466 0.4733
P3 0.2068 0.2705 0.1800
O1 0.0316 0.3360 0.6068
O2 0.0354 0.3983 0.4521
O3 0.0624 0.4471 0.2171
O4 0.0705 0.1159 0.5225
O5 0.0919 0.1036 0.3756
O6 0.1071 0.4386 0.8861
O7 0.1191 0.1281 0.9788
O8 0.1192 0.1710 0.1564
O9 0.1708 0.3758 0.0926
O10 0.2059 0.3201 0.8080
O11 0.2330 0.0845 0.5378
O12 0.2456 0.3576 0.2740
# Total magnetic moment ... 5.985 μB per formula unit
# DOS(E_F) ... 0.0 states/eV/cell
# Polymorph energy (0 for the lowest one) ... 1.727 eV per formula unit